This record from the Alexandria database describes a relaxed structure of YCu2Ni. The functional is PBEsol.

a b c (Å): 4.0582 4.0582 13.3416
angles (deg): 90.00 90.00 120.00
Space group R3m (No. 160, hexagonal axes)
One atom of each set of equivalent atoms:
Y (0.0000, 0.0000, 0.0000) x3
Cu (0.0000, 0.0000, 0.2034) x3
Cu (0.0000, 0.0000, 0.4924) x3
Ni (0.0000, 0.0000, 0.7959) x3

Values from the calculation:
- energy above the most stable polymorph in this dataset (meV/atom) = 0
- density of states at the Fermi level (states/eV/cell) = 7.0
- energy of formation from the pure elements (kcal/mol of atoms) = -4.86